Density functional theory data (PBE+U) for VCdF2 after structural relaxation.

total energy = -19.5 eV per formula unit
energy above the lowest structure with this stoichiometry = 0.00 eV/f.u.
DOS(E_F) = 1.27 states/eV per cell

Cell and atoms, written as POSCAR:
```
VCdF2
1.0
1.6323 0.9424 8.6056
-1.6323 0.9424 8.6056
0.0000 -1.8848 8.6056
V Cd F
1 1 2
Direct
0.0000 0.0000 0.0000 V
0.5000 0.5000 0.5000 Cd
0.3714 0.3714 0.3714 F
0.6286 0.6286 0.6286 F
```